LaPmErCu | PBE-GGA | optimized geometry

The energy relative to the elements is -84 meV/atom. The value obtained for the magnetic moment is 0.00 μB/cell. Its density of states at the Fermi level is 1.01 states/eV per atom. As for the density: 7.6 Mg/m³.

Structure (CIF):
```
data_LaPmErCu
_space_group_name_H-M_alt 'P 4 m m'
_space_group_IT_number 99
_space_group_name_Hall 'P 4 -2'
_cell_length_a 3.566
_cell_length_b 3.566
_cell_length_c 8.832
_cell_angle_alpha 90.00
_cell_angle_beta 90.00
_cell_angle_gamma 90.00
loop_
_atom_site_label
_atom_site_fract_x
_atom_site_fract_y
_atom_site_fract_z
La1 0.000 0.000 0.000
Pm1 0.500 0.500 0.685
Er1 0.500 0.500 0.305
Cu1 0.000 0.000 0.478
```

SmHoZnGa | PBE-GGA | optimized geometry

The energy relative to the elements is -467 meV/atom. The value obtained for the magnetic moment is 0.00 μB/cell. Its density of states at the Fermi level is 0.82 states/eV per atom. As for the density: 8.0 Mg/m³.

Structure (CIF):
```
data_SmHoZnGa
_space_group_name_H-M_alt 'F -4 3 m'
_space_group_IT_number 216
_space_group_name_Hall 'F -4 2 3'
_cell_length_a 7.208
_cell_length_b 7.208
_cell_length_c 7.208
_cell_angle_alpha 90.00
_cell_angle_beta 90.00
_cell_angle_gamma 90.00
loop_
_atom_site_label
_atom_site_fract_x
_atom_site_fract_y
_atom_site_fract_z
Sm1 0.000 0.000 0.000
Ho1 0.000 0.000 0.500
Zn1 0.250 0.250 0.250
Ga1 0.250 0.250 0.750
```

E_tot across the listed records, respectively: -4.668; -3.866 eV per atom.